1.
A relaxed structure of ThBiAu. Source: the Alexandria database, functional GGA-PBE.

Properties
DOS at the Fermi energy: 0.13 states/eV/cell
Energy: -16.4 eV/cell
Formation energy from the elements: -0.61 eV/atom

Cell lengths 4.7140, 4.7140, 4.4651 Å; angles 90.00, 90.00, 120.00 degrees
Space group P3m1 (No. 156)
One atom of each set of equivalent atoms:
Th1 0.0000 0.0000 0.0000
Bi1 0.3333 0.6667 0.4519
Au1 0.6667 0.3333 0.7358

---

2.
A relaxed structure of Sc3AuN. Source: the Alexandria database, functional GGA-PBE.

Properties
DOS at the Fermi energy: 23.56 states/eV/cell
Formation energy from raw total energies: -1.03 eV per atom
Energy: -286.1 eV/cell

Cell lengths 10.752, 12.040, 5.504 Å; angles 90.00, 91.60, 90.00 degrees
Space group C2/c (No. 15)
One atom of each set of equivalent atoms:
Sc1 0.102 0.153 0.063
Sc2 0.114 0.430 0.088
Sc3 0.118 0.307 0.580
Au1 0.167 0.075 0.577
N1 0.000 0.294 0.250
N2 0.000 0.437 0.750

---

3.
A relaxed structure of SnTe2As2Pd7. Source: the Alexandria database, functional GGA-PBE.

Properties
DOS at the Fermi energy: 11.48 states/eV/cell
Formation energy from raw total energies: -0.40 eV per atom
Energy: -121.4 eV/cell

Cell lengths 3.985, 3.985, 29.981 Å; angles 90.00, 90.00, 90.00 degrees
Space group I4/mmm (No. 139)
One atom of each set of equivalent atoms:
Sn1 0.000 0.000 0.000
Te1 0.000 0.000 0.209
As1 0.000 0.000 0.381
Pd1 0.000 0.000 0.299
Pd2 0.000 0.000 0.500
Pd3 0.000 0.500 0.070